No. 1
The following is a DFT calculation (GGA-PBEsol) of crystalline YH2 at its relaxed geometry.

**SG**: Fm-3m, No. 225
**DFT total energy**: -5.23 eV per atom
**Total magnetization**: 0.00 μB/f.u.

Cell lengths 3.6258, 3.6258, 3.6258 Å; angles 60.00, 60.00, 60.00 degrees
With the nearest neighbours (Å) after each atom.
Fractional coordinates of all 3 atoms:
H  0.7500  0.7500  0.7500  4 Y 2.22
H  0.2500  0.2500  0.2500  4 Y 2.22
Y  0.0000  0.0000  0.0000  8 H 2.22

No. 2
The following is a DFT calculation (GGA-PBEsol) of crystalline Y3H at its relaxed geometry.

**SG**: Pmma, No. 51
**DFT total energy**: -6.21 eV per atom
**Total magnetization**: 0.00 μB/f.u.

Cell lengths 3.6196, 6.2685, 16.9381 Å; angles 90.00, 90.00, 90.00 degrees
With the nearest neighbours (Å) after each atom.
Fractional coordinates of all 16 atoms:
Y  0.0000  0.3335  0.5889  1 H 2.15
Y  0.5000  0.8298  0.5827  2 H 2.16
Y  0.0000  0.6725  0.7500  2 H 2.23
Y  0.0000  0.3275  0.2500  2 H 2.23
Y  0.5000  0.8298  0.9173  2 H 2.16
Y  0.0000  0.6665  0.0889  1 H 2.15
Y  0.0000  0.6665  0.4111  1 H 2.15
Y  0.5000  0.1702  0.4173  2 H 2.16
Y  0.5000  0.1672  0.7500  12 Y 3.44-3.65
Y  0.0000  0.3335  0.9111  1 H 2.15
Y  0.5000  0.1702  0.0827  2 H 2.16
Y  0.5000  0.8328  0.2500  12 Y 3.44-3.65
H  0.0000  0.3329  0.3816  4 Y 2.15-2.23
H  0.0000  0.6671  0.8816  4 Y 2.15-2.23
H  0.0000  0.3329  0.1184  4 Y 2.15-2.23
H  0.0000  0.6671  0.6184  4 Y 2.15-2.23

No. 3
The following is a DFT calculation (GGA-PBEsol) of crystalline Y3H2 at its relaxed geometry.

**SG**: P6_3/mmc, No. 194
**DFT total energy**: -5.85 eV per atom
**Total magnetization**: 0.00 μB/f.u.

Cell lengths 3.6444, 3.6444, 17.0291 Å; angles 90.00, 90.00, 120.00 degrees
With the nearest neighbours (Å) after each atom.
Fractional coordinates of all 10 atoms:
Y  0.3333  0.6667  0.0874  3 H 2.17
Y  0.6667  0.3333  0.2500  2 H 2.23
Y  0.3333  0.6667  0.7500  2 H 2.23
Y  0.3333  0.6667  0.4126  3 H 2.17
Y  0.6667  0.3333  0.9126  3 H 2.17
Y  0.6667  0.3333  0.5874  3 H 2.17
H  0.6667  0.3333  0.1189  4 Y 2.17-2.23
H  0.3333  0.6667  0.8811  4 Y 2.17-2.23
H  0.6667  0.3333  0.3811  4 Y 2.17-2.23
H  0.3333  0.6667  0.6189  4 Y 2.17-2.23

No. 4
The following is a DFT calculation (GGA-PBEsol) of crystalline YH3 at its relaxed geometry.

**SG**: P-3c1, No. 165
**DFT total energy**: -4.84 eV per atom
**Total magnetization**: 0.00 μB/f.u.

Cell lengths 6.2251, 6.2251, 6.4532 Å; angles 90.00, 90.00, 120.00 degrees
With the nearest neighbours (Å) after each atom.
Fractional coordinates of all 24 atoms:
H  0.3333  0.6667  0.6785  3 Y 2.12, 3 H 2.25
H  0.3472  0.3226  0.0941  2 H 2.03-2.25, 2 Y 2.22
H  0.9754  0.6528  0.0941  2 H 2.03-2.25, 2 Y 2.22
H  0.6667  0.3333  0.3215  3 Y 2.12, 3 H 2.25
H  0.3226  0.3472  0.4059  2 H 2.03-2.25, 2 Y 2.22
H  0.3226  0.9754  0.9059  2 H 2.03-2.25, 2 Y 2.22
H  0.0246  0.3472  0.9059  2 H 2.03-2.25, 2 Y 2.22
H  0.6667  0.3333  0.8215  3 Y 2.12, 3 H 2.25
H  0.0000  0.0000  0.2500  3 Y 2.09, 6 H 2.32
H  0.3472  0.0246  0.5941  2 H 2.03-2.25, 2 Y 2.22
H  0.6528  0.9754  0.4059  2 H 2.03-2.25, 2 Y 2.22
H  0.3333  0.6667  0.1785  3 Y 2.12, 3 H 2.25
H  0.0246  0.6774  0.4059  2 H 2.03-2.25, 2 Y 2.22
H  0.9754  0.3226  0.5941  2 H 2.03-2.25, 2 Y 2.22
H  0.6528  0.6774  0.9059  2 H 2.03-2.25, 2 Y 2.22
H  0.6774  0.6528  0.5941  2 H 2.03-2.25, 2 Y 2.22
H  0.6774  0.0246  0.0941  2 H 2.03-2.25, 2 Y 2.22
H  0.0000  0.0000  0.7500  3 Y 2.09, 6 H 2.32
Y  0.3363  0.0000  0.2500  9 H 2.09-2.28
Y  0.3363  0.3363  0.7500  9 H 2.09-2.28
Y  0.6637  0.0000  0.7500  9 H 2.09-2.28
Y  0.6637  0.6637  0.2500  9 H 2.09-2.28
Y  0.0000  0.6637  0.7500  9 H 2.09-2.28
Y  0.0000  0.3363  0.2500  9 H 2.09-2.28